Entry 1:
First-principles (GGA-PBE) data for a geometry-optimized Al2HgAu7 structure, as listed in Alexandria.

Calculated values
For the total energy, the calculation gives -3.247 eV/atom. For the energy relative to the elements, the calculation gives -0.175 eV per atom. The total magnetic moment is 0.00 μB per formula unit.

abc: 4.2773 4.2773 20.7392
angles: 90.00 90.00 90.00
Space group I4/mmm (No. 139)
Symmetry-distinct sites (fractional):
Al1 0.0000 0.0000 0.1751 [4 per cell]
Hg1 0.0000 0.0000 0.5000 [2 per cell]
Au1 0.0000 0.0000 0.0000 [2 per cell]
Au2 0.0000 0.5000 0.1030 [8 per cell]
Au3 0.0000 0.5000 0.2500 [4 per cell]

Entry 2:
First-principles (GGA-PBE) data for a geometry-optimized PmCu4Ni2 structure, as listed in Alexandria.

Calculated values
For the total energy, the calculation gives -4.285 eV/atom. For the energy relative to the elements, the calculation gives 0.386 eV per atom. The calculation puts the offset from the most stable computed form at 51.1 kJ per mole of atoms. The total magnetic moment is 0.00 μB per formula unit.

abc: 7.0490 7.0490 5.1316
angles: 90.00 90.00 90.00
Space group I4/mmm (No. 139)
Symmetry-distinct sites (fractional):
Pm1 0.0000 0.0000 0.0000 [2 per cell]
Cu1 0.0000 0.2303 0.5000 [8 per cell]
Ni1 0.0000 0.5000 0.2500 [4 per cell]

Entry 3:
First-principles (GGA-PBE) data for a geometry-optimized Cd8Hg structure, as listed in Alexandria.

Calculated values
For the total energy, the calculation gives -0.844 eV/atom. For the energy relative to the elements, the calculation gives 0.003 eV per atom. The calculation puts the offset from the most stable computed form at 0.0 kJ per mole of atoms. The total magnetic moment is 0.00 μB per formula unit.

abc: 4.9891 6.4760 7.0485
angles: 89.25 88.31 68.19
Space group P-1 (No. 2)
Symmetry-distinct sites (fractional):
Cd1 0.0015 0.3344 0.1660 [2 per cell]
Cd2 0.3323 0.3349 0.5001 [2 per cell]
Cd3 0.3327 0.9999 0.8341 [2 per cell]
Cd4 0.3362 0.6649 0.1661 [2 per cell]
Hg1 0.0000 0.0000 0.5000 [1 per cell]